Record 1
Entry from Alexandria via LeMat-Bulk: crystalline Dy2ErRh at its relaxed geometry (GGA-PBE).

Properties
- calculated formation energy (eV/atom) = -0.3284

Unit cell a=3.795 b=3.795 c=9.359 alpha=78.30 beta=78.30 gamma=60.00
Each line ends with the local moment (μB).
Fractional positions:
Dy 0.272 0.272 0.183  0.06
Dy 0.061 0.061 0.818  0.06
Er 0.501 0.501 0.497  0.21
Rh 0.666 0.666 0.002  0.01

Record 2
Entry from Alexandria via LeMat-Bulk: crystalline Sm2OsBr at its relaxed geometry (GGA-PBE).

Properties
- energy relative to the elements, uncorrected (eV/atom) = -0.6651

Unit cell a=3.439 b=3.439 c=8.291 alpha=90.00 beta=90.00 gamma=90.00
Fractional positions:
Os 0.500 0.500 0.000
Br 0.500 0.500 0.500
Sm 0.000 0.000 0.791
Sm 0.000 0.000 0.209

Record 3
Entry from Alexandria via LeMat-Bulk: crystalline NbCo2P at its relaxed geometry (GGA-PBE).

Properties
- calculated formation energy (eV/atom) = -0.6414

Unit cell a=4.763 b=6.323 c=13.104 alpha=90.00 beta=90.00 gamma=90.00
Fractional positions:
Co 0.754 0.552 0.536
Co 0.246 0.052 0.464
Co 0.246 0.448 0.464
Co 0.965 0.448 0.214
Co 0.465 0.948 0.286
Co 0.965 0.052 0.214
Co 0.535 0.448 0.714
Co 0.254 0.448 0.964
Co 0.254 0.052 0.964
Co 0.746 0.552 0.036
Co 0.535 0.052 0.714
Co 0.035 0.552 0.786
Co 0.746 0.948 0.036
Co 0.035 0.948 0.786
Co 0.754 0.948 0.536
Co 0.465 0.552 0.286
Nb 0.025 0.250 0.638
Nb 0.742 0.250 0.891
Nb 0.475 0.250 0.138
Nb 0.242 0.750 0.609
Nb 0.525 0.750 0.862
Nb 0.975 0.750 0.362
Nb 0.258 0.750 0.109
Nb 0.758 0.250 0.391
P 0.019 0.750 0.931
P 0.519 0.250 0.569
P 0.742 0.750 0.182
P 0.481 0.750 0.431
P 0.258 0.250 0.818
P 0.981 0.250 0.069
P 0.758 0.750 0.682
P 0.242 0.250 0.318

Record 4
Entry from Alexandria via LeMat-Bulk: crystalline La5Pr3P8 at its relaxed geometry (GGA-PBE).

Properties
- calculated formation energy (eV/atom) = -1.5528

Unit cell a=8.499 b=8.499 c=8.502 alpha=60.01 beta=60.01 gamma=60.00
Fractional positions:
P 0.750 0.248 0.252
P 0.250 0.752 0.748
P 0.751 0.751 0.748
P 0.750 0.750 0.252
P 0.250 0.250 0.748
P 0.249 0.249 0.252
P 0.752 0.250 0.748
P 0.248 0.750 0.252
Pr 0.500 0.000 0.500
Pr 0.000 0.000 0.500
Pr 0.000 0.500 0.500
La 0.500 0.500 0.000
La 0.500 0.500 0.500
La 0.000 0.000 0.000
La 0.000 0.500 0.000
La 0.500 0.000 0.000

Record 5
Entry from Alexandria via LeMat-Bulk: crystalline MgBeGa2Fe at its relaxed geometry (GGA-PBE).

Properties
- calculated formation energy (eV/atom) = 0.2092

Unit cell a=4.463 b=4.115 c=4.463 alpha=90.00 beta=90.00 gamma=90.00
Fractional positions:
Ga 0.000 0.000 0.500
Ga 0.500 0.000 0.000
Be 0.000 0.500 0.000
Fe 0.000 0.000 0.000
Mg 0.500 0.500 0.500

Record 6
Entry from Alexandria via LeMat-Bulk: crystalline Sm6Tl2BiTe3 at its relaxed geometry (GGA-PBE).

Properties
- energy relative to the elements, uncorrected (eV/atom) = -0.9655

Unit cell a=4.388 b=9.159 c=10.129 alpha=105.82 beta=102.51 gamma=90.00
Fractional positions:
Tl 0.170 0.345 0.341
Tl 0.830 0.655 0.659
Te 0.500 0.500 0.000
Te 0.836 0.160 0.672
Te 0.164 0.840 0.328
Sm 0.668 0.091 0.335
Sm 0.996 0.749 0.992
Sm 0.335 0.408 0.671
Sm 0.665 0.592 0.329
Sm 0.004 0.251 0.008
Sm 0.332 0.909 0.665
Bi 0.500 0.000 0.000

Record 7
Entry from Alexandria via LeMat-Bulk: crystalline CsNaTlCd2 at its relaxed geometry (GGA-PBE).

Properties
- calculated formation energy (eV/atom) = 0.0131

Unit cell a=5.863 b=5.863 c=6.092 alpha=90.00 beta=90.00 gamma=90.00
Fractional positions:
Cs 0.500 0.500 0.500
Tl 0.000 0.000 0.000
Na 0.000 0.000 0.500
Cd 0.000 0.500 0.000
Cd 0.500 0.000 0.000

Record 8
Entry from Alexandria via LeMat-Bulk: crystalline ReAs2Pb at its relaxed geometry (GGA-PBE).

Properties
- calculated formation energy (eV/atom) = 0.3029

Unit cell a=4.203 b=4.203 c=7.071 alpha=83.84 beta=83.84 gamma=44.25
Fractional positions:
As 0.530 0.530 0.422
As 0.970 0.970 0.078
Re 0.250 0.250 0.250
Pb 0.750 0.750 0.750

Record 9
Entry from Alexandria via LeMat-Bulk: crystalline Sc2PtBr2 at its relaxed geometry (GGA-PBE).

Properties
- energy relative to the elements, uncorrected (eV/atom) = -0.5454

Unit cell a=4.253 b=4.253 c=7.098 alpha=72.57 beta=72.57 gamma=90.00
Each line ends with the local moment (μB).
Fractional positions:
Sc 0.390 0.390 0.221  0.31
Sc 0.610 0.610 0.779  0.31
Br 0.250 0.750 0.500  -0.01
Br 0.750 0.250 0.500  -0.01
Pt 0.000 0.000 0.000  0.01

Record 10
Entry from Alexandria via LeMat-Bulk: crystalline Be3TcAs at its relaxed geometry (GGA-PBE).

Properties
- calculated formation energy (eV/atom) = 1.0011

Unit cell a=4.217 b=4.217 c=4.217 alpha=90.00 beta=90.00 gamma=90.00
Fractional positions:
As 0.500 0.500 0.500
Tc 0.000 0.000 0.000
Be 0.000 0.000 0.500
Be 0.000 0.500 0.000
Be 0.500 0.000 0.000

Record 11
Entry from Alexandria via LeMat-Bulk: crystalline Cu6Pd5Au at its relaxed geometry (GGA-PBE).

Properties
- calculated formation energy (eV/atom) = -0.1262

Unit cell a=4.307 b=6.017 c=7.442 alpha=113.84 beta=106.90 gamma=90.00
Fractional positions:
Cu 0.172 0.422 0.337
Cu 0.500 0.257 0.000
Cu 0.172 0.915 0.337
Cu 0.828 0.085 0.663
Cu 0.828 0.578 0.663
Cu 0.500 0.743 0.000
Au 0.000 0.000 0.000
Pd 0.329 0.332 0.665
Pd 0.671 0.668 0.335
Pd 0.000 0.500 0.000
Pd 0.669 0.166 0.331
Pd 0.331 0.834 0.669

Record 12
Entry from Alexandria via LeMat-Bulk: crystalline LaTl2 at its relaxed geometry (GGA-PBE).

Properties
- calculated formation energy (eV/atom) = -0.3462

Unit cell a=5.182 b=7.042 c=9.911 alpha=90.00 beta=90.00 gamma=90.00
Fractional positions:
Tl 0.250 0.164 0.417
Tl 0.250 0.042 0.741
Tl 0.250 0.664 0.083
Tl 0.750 0.336 0.917
Tl 0.750 0.836 0.583
Tl 0.750 0.458 0.241
Tl 0.750 0.958 0.259
Tl 0.250 0.542 0.759
La 0.250 0.677 0.412
La 0.750 0.823 0.912
La 0.250 0.177 0.088
La 0.750 0.323 0.588

| no. | volume (Å³/f.u.) | VASP energy (eV/atom) |
| --- | --- | --- |
| 1 | 113.5 | -5.608 |
| 2 | 98.1 | -6.250 |
| 3 | 49.3 | -8.064 |
| 4 | 434.3 | -6.694 |
| 5 | 82.0 | -3.758 |
| 6 | 381.6 | -4.828 |
| 7 | 209.4 | -1.261 |
| 8 | 86.6 | -6.061 |
| 9 | 116.3 | -4.955 |
| 10 | 75.0 | -4.238 |
| 11 | 167.2 | -4.611 |
| 12 | 90.4 | -3.566 |